No. 1
VASP calculation (PBE) on an optimized crystal structure of Sr2LiAg3Sb4.

Properties
As for the uncorrected formation energy: -0.524 eV/atom. As for the space group: P-4m2, No. 115. The total magnetization is 0.000 μB/f.u. The density of states at the Fermi level comes out at 4.0 states/eV/f.u.

a b c (Å): 4.664 4.664 12.169
angles (deg): 90.00 90.00 90.00
Atoms (fractional coordinates):
1 Sr 0.000 0.500 0.236
2 Sr 0.500 0.000 0.764
3 Li 0.500 0.500 0.000
4 Ag 0.000 0.000 0.000
5 Ag 0.000 0.500 0.643
6 Ag 0.500 0.000 0.357
7 Sb 0.000 0.000 0.500
8 Sb 0.000 0.500 0.866
9 Sb 0.500 0.000 0.134
10 Sb 0.500 0.500 0.500


No. 2
VASP calculation (PBE) on an optimized crystal structure of Zr2BeGaIr2.

Properties
As for the space group: Ibam, No. 72. The total magnetization is 0.000 μB/f.u. The density of states at the Fermi level comes out at 3.3 states/eV/f.u. As for the energy of formation: -0.670 eV per atom.

a b c (Å): 7.582 7.582 7.582
angles (deg): 136.86 62.63 136.90
Atoms (fractional coordinates):
1 Zr 0.172 0.238 0.410
2 Zr 0.328 0.738 0.065
3 Zr 0.672 0.262 0.935
4 Zr 0.828 0.762 0.590
5 Be 0.250 0.750 0.500
6 Be 0.750 0.250 0.500
7 Ga 0.250 0.250 0.000
8 Ga 0.750 0.750 0.000
9 Ir 0.121 0.719 0.840
10 Ir 0.379 0.219 0.599
11 Ir 0.621 0.781 0.401
12 Ir 0.879 0.281 0.160